(1)
Density functional theory data (PBE-GGA) for an optimized crystal structure of Ti6TlSb3.

The value obtained for the formation energy (no corrections) is -20 kJ per mole of atoms. The value obtained for the density of states at the Fermi level is 0.89 states/eV per atom. Its total magnetization is 0.00 μB per cell.

The structure belongs to space group Cmc2_1 (No. 36); the cell edges are 8.8276, 13.2572 and 7.0081 Å and the angles 90.00°, 90.00° and 90.00°. Symmetry generates all atoms from Ti at (0.0000, 0.0516, 0.0000), Ti at (0.0000, 0.2644, 0.7692), Ti at (0.1902, 0.4276, 0.8294), Ti at (0.2355, 0.2114, 0.0201), Tl at (0.0000, 0.1923, 0.3069), Sb at (0.0000, 0.4274, 0.5081) and Sb at (0.1932, 0.1018, 0.6845).

=====

(2)
Density functional theory data (PBE-GGA) for an optimized crystal structure of Ti2TlSb.

The value obtained for the formation energy (no corrections) is 37 kJ per mole of atoms. The excess energy over the best structure of this formula in the dataset is 128 kJ/mol of formula units. The value obtained for the density of states at the Fermi level is 1.71 states/eV per atom. Its total magnetization is 7.73 μB per cell.

The structure belongs to space group I-42d (No. 122); the cell edges are 4.3399, 4.3399 and 19.8989 Å and the angles 90.00°, 90.00° and 90.00°. Symmetry generates all atoms from Ti at (0.2347, 0.2500, 0.1250), Tl at (0.0000, 0.0000, 0.5000) and Sb at (0.0000, 0.0000, 0.0000).

=====

(3)
Density functional theory data (PBE-GGA) for an optimized crystal structure of TiTl4Sb2.

The value obtained for the formation energy (no corrections) is 36 kJ per mole of atoms. The value obtained for the density of states at the Fermi level is 0.70 states/eV per atom. Its total magnetization is 0.47 μB per cell.

The structure belongs to space group I4/mmm (No. 139); the cell edges are 5.5353, 5.5353 and 15.2709 Å and the angles 90.00°, 90.00° and 90.00°. Symmetry generates all atoms from Ti at (0.0000, 0.0000, 0.0000), Tl at (0.0000, 0.0000, 0.1854), Tl at (0.0000, 0.5000, 0.0000) and Sb at (0.0000, 0.0000, 0.3782).

=====

(4)
Density functional theory data (PBE-GGA) for an optimized crystal structure of TiTlSbW2.

The value obtained for the formation energy (no corrections) is 158 kJ per mole of atoms. The value obtained for the density of states at the Fermi level is 1.43 states/eV per atom. Its total magnetization is 0.00 μB per cell.

The structure belongs to space group P4/mmm (No. 123); the cell edges are 4.7819, 4.7819 and 5.0629 Å and the angles 90.00°, 90.00° and 90.00°. Symmetry generates all atoms from Ti at (0.0000, 0.0000, 0.0000), Tl at (0.5000, 0.5000, 0.5000), Sb at (0.0000, 0.0000, 0.5000) and W at (0.0000, 0.5000, 0.0000).

=====

(5)
Density functional theory data (PBE-GGA) for an optimized crystal structure of TmTiSb.

The value obtained for the formation energy (no corrections) is -25 kJ per mole of atoms. The value obtained for the density of states at the Fermi level is 1.22 states/eV per atom. Its total magnetization is 1.85 μB per cell.

The structure belongs to space group P-6m2 (No. 187); the cell edges are 4.7327, 4.7327 and 3.7023 Å and the angles 90.00°, 90.00° and 120.00°. Symmetry generates all atoms from Tm at (0.0000, 0.0000, 0.0000), Ti at (0.6667, 0.3333, 0.5000) and Sb at (0.3333, 0.6667, 0.5000).

=====

(6)
Density functional theory data (PBE-GGA) for an optimized crystal structure of TmTiSb.

The value obtained for the formation energy (no corrections) is -69 kJ per mole of atoms. The value obtained for the density of states at the Fermi level is 1.01 states/eV per atom. Its total magnetization is 0.00 μB per cell.

The structure belongs to space group P4/nmm (No. 129, origin choice 2); the cell edges are 4.1762, 4.1762 and 7.8272 Å and the angles 90.00°, 90.00° and 90.00°. Symmetry generates all atoms from Tm at (0.2500, 0.2500, 0.1529), Ti at (0.2500, 0.7500, 0.5000) and Sb at (0.2500, 0.2500, 0.7531).

=====

(7)
Density functional theory data (PBE-GGA) for an optimized crystal structure of TmTi3Sb2.

The value obtained for the formation energy (no corrections) is -42 kJ per mole of atoms. The value obtained for the density of states at the Fermi level is 0.84 states/eV per atom. Its total magnetization is 0.00 μB per cell.

The structure belongs to space group C2/m (No. 12); the cell edges are 16.9979, 4.1160 and 8.4163 Å and the angles 90.00°, 117.24° and 90.00°. Symmetry generates all atoms from Tm at (0.1315, 0.0000, 0.0610), Ti at (0.0583, 0.0000, 0.4241), Ti at (0.0891, 0.5000, 0.6663), Ti at (0.1919, 0.5000, 0.4822), Sb at (0.0243, 0.5000, 0.1871) and Sb at (0.2198, 0.0000, 0.7520).

=====

(8)
Density functional theory data (PBE-GGA) for an optimized crystal structure of UTi5Sb3.

The value obtained for the formation energy (no corrections) is -33 kJ per mole of atoms. The value obtained for the density of states at the Fermi level is 0.98 states/eV per atom. Its total magnetization is 3.16 μB per cell.

The structure belongs to space group P6_3/mcm (No. 193); the cell edges are 8.3454, 8.3454 and 5.6501 Å and the angles 90.00°, 90.00° and 120.00°. Symmetry generates all atoms from U at (0.0000, 0.0000, 0.0000), Ti at (0.0000, 0.3066, 0.2500), Ti at (0.3333, 0.6667, 0.0000) and Sb at (0.0000, 0.3589, 0.7500).

=====

total magnetization of number 6 (TmTiSb)?
0.00 μB per cell